# 1
A relaxed Zn2HgW crystal. Source: Alexandria via LeMat-Bulk, functional PBE-GGA.

Computed properties:
As for the total magnetization: 0.00 μB per formula unit. The value obtained for the total energy is -14.61 eV/f.u. For the formation energy, the calculation gives 115 kJ/mol of formula units. The density of states at the Fermi level is 0.26 states/eV per atom.

a b c (Å): 2.8018 2.8018 8.8299
angles (deg): 90.00 90.00 100.41
Closest atoms and distances in Å follow each position.
Sites, in units of the cell vectors:
1 Hg 0.5000 0.5000 0.2500  4 Hg 2.80, 4 Zn 3.00
2 W 0.5000 0.5000 0.7500  8 Zn 2.69-2.95, 4 W 2.80
3 Zn 0.0000 0.0000 0.9778  4 W 2.69-2.95, 4 Zn 2.80, 2 Hg 3.00
4 Zn 0.0000 0.0000 0.5222  4 W 2.69-2.95, 4 Zn 2.80, 2 Hg 3.00

# 2
A relaxed Tm12Al3O5 crystal. Source: Alexandria via LeMat-Bulk, functional PBE-GGA.

Computed properties:
As for the total magnetization: 0.00 μB per formula unit. The value obtained for the total energy is -120.14 eV/f.u. The density of states at the Fermi level is 0.62 states/eV per atom. For the formation energy without anion corrections, the calculation gives -147 kJ/mol of atoms.

a b c (Å): 13.0981 13.0981 13.0981
angles (deg): 109.47 109.47 109.47
Closest atoms and distances in Å follow each position.
Sites, in units of the cell vectors:
1 Tm 0.7009 0.1105 0.0137  1 O 2.16
2 Tm 0.3128 0.5137 0.4033  1 O 2.16
3 Tm 0.9863 0.3895 0.2991  1 O 2.16
4 Tm 0.5137 0.2009 0.1105  1 O 2.16
5 Tm 0.5904 0.7009 0.6872  1 O 2.16
6 Tm 0.9863 0.5967 0.1872  1 O 2.16
7 Tm 0.3128 0.7991 0.4096  1 O 2.16
8 Tm 0.0967 0.9096 0.1105  1 O 2.16
9 Tm 0.5967 0.9863 0.6872  1 O 2.16
10 Tm 0.7009 0.5904 0.1872  1 O 2.16
11 Tm 0.7991 0.4863 0.3895  1 O 2.16
12 Tm 0.8128 0.9033 0.0137  1 O 2.16
13 Tm 0.1105 0.7009 0.5137  1 O 2.16
14 Tm 0.3895 0.4033 0.0904  1 O 2.16
15 Tm 0.0904 0.9033 0.3895  1 O 2.16
16 Tm 0.4096 0.1105 0.5967  1 O 2.16
17 Tm 0.0904 0.1872 0.2009  1 O 2.16
18 Tm 0.4863 0.6872 0.0967  1 O 2.16
19 Tm 0.8128 0.9096 0.2991  1 O 2.16
20 Tm 0.1105 0.4096 0.0967  1 O 2.16
21 Tm 0.3895 0.9863 0.7991  1 O 2.16
22 Tm 0.5967 0.6105 0.4096  1 O 2.16
23 Tm 0.9033 0.8128 0.5137  1 O 2.16
24 Tm 0.7991 0.3128 0.9096  1 O 2.16
25 Tm 0.4033 0.3895 0.5904  1 O 2.16
26 Tm 0.0967 0.1872 0.4863  1 O 2.16
27 Tm 0.2009 0.6872 0.0904  1 O 2.16
28 Tm 0.1872 0.0904 0.7009  1 O 2.16
29 Tm 0.6105 0.0137 0.2009  1 O 2.16
30 Tm 0.8895 0.5904 0.9033  1 O 2.16
31 Tm 0.5137 0.3128 0.9033  1 O 2.16
32 Tm 0.5904 0.8895 0.4033  1 O 2.16
33 Tm 0.9096 0.8128 0.7991  1 O 2.16
34 Tm 0.9096 0.0967 0.6105  1 O 2.16
35 Tm 0.8895 0.2991 0.4863  1 O 2.16
36 Tm 0.1872 0.0967 0.9863  1 O 2.16
37 Tm 0.6105 0.5967 0.9096  1 O 2.16
38 Tm 0.4033 0.0137 0.3128  1 O 2.16
39 Tm 0.2991 0.4096 0.8128  1 O 2.16
40 Tm 0.2009 0.5137 0.6105  1 O 2.16
41 Tm 0.9033 0.0904 0.8895  1 O 2.16
42 Tm 0.6872 0.2009 0.5904  1 O 2.16
43 Tm 0.4863 0.7991 0.8895  1 O 2.16
44 Tm 0.0137 0.4033 0.8128  1 O 2.16
45 Tm 0.4096 0.2991 0.3128  1 O 2.16
46 Tm 0.0137 0.6105 0.7009  1 O 2.16
47 Tm 0.6872 0.4863 0.5967  1 O 2.16
48 Tm 0.2991 0.8895 0.9863  1 O 2.16
49 Al 0.7500 0.3750 0.1250  8 Tm 3.01-3.07
50 Al 0.8750 0.7500 0.1250  8 Tm 3.01-3.07
51 Al 0.3750 0.7500 0.6250  8 Tm 3.01-3.07
52 Al 0.2500 0.1250 0.3750  8 Tm 3.01-3.07
53 Al 0.8750 0.1250 0.2500  8 Tm 3.01-3.07
54 Al 0.3750 0.6250 0.2500  8 Tm 3.01-3.07
55 Al 0.6250 0.3750 0.7500  8 Tm 3.01-3.07
56 Al 0.1250 0.8750 0.7500  8 Tm 3.01-3.07
57 Al 0.7500 0.8750 0.6250  8 Tm 3.01-3.07
58 Al 0.6250 0.2500 0.3750  8 Tm 3.01-3.07
59 Al 0.1250 0.2500 0.8750  8 Tm 3.01-3.07
60 Al 0.2500 0.6250 0.8750  8 Tm 3.01-3.07
61 O 0.1250 0.3750 0.2500  4 Tm 2.16
62 O 0.0000 0.5000 0.0000  6 Tm 2.45
63 O 0.0000 0.0000 0.0000  6 Tm 2.45
64 O 0.3750 0.2500 0.1250  4 Tm 2.16
65 O 0.5000 0.0000 0.5000  6 Tm 2.45
66 O 0.5000 0.5000 0.0000  6 Tm 2.45
67 O 0.1250 0.7500 0.3750  4 Tm 2.16
68 O 0.7500 0.1250 0.8750  4 Tm 2.16
69 O 0.7500 0.6250 0.3750  4 Tm 2.16
70 O 0.3750 0.1250 0.7500  4 Tm 2.16
71 O 0.6250 0.8750 0.2500  4 Tm 2.16
72 O 0.5000 0.5000 0.5000  6 Tm 2.45
73 O 0.5000 0.0000 0.0000  6 Tm 2.45
74 O 0.0000 0.0000 0.5000  6 Tm 2.45
75 O 0.2500 0.3750 0.6250  4 Tm 2.16
76 O 0.2500 0.8750 0.1250  4 Tm 2.16
77 O 0.0000 0.5000 0.5000  6 Tm 2.45
78 O 0.8750 0.2500 0.6250  4 Tm 2.16
79 O 0.6250 0.7500 0.8750  4 Tm 2.16
80 O 0.8750 0.6250 0.7500  4 Tm 2.16